The following is a PBE calculation of crystalline MnCu2Rh2 at its relaxed geometry, from Alexandria via LeMat-Bulk.

```
5
Lattice="-0.640 3.974 -1.207 -3.824 1.714 0.320 -2.011 5.152 3.433" Properties=species:S:1:pos:R:3 pbc="T T T"
Mn 0.000 0.000 0.000
Rh -1.301 2.160 0.484
Rh -5.174 8.681 2.062
Cu -2.570 4.366 1.104
Cu -3.905 6.474 1.442
```

Calculated values
* energy above the lowest structure with this stoichiometry: 0 meV per atom


The following is a PBE calculation of crystalline Mn4CuRh at its relaxed geometry, from Alexandria via LeMat-Bulk.

```
6
Lattice="1.357 -3.715 -2.443 2.478 -3.354 2.054 -1.931 -4.149 0.813" Properties=species:S:1:pos:R:3 pbc="T T T"
Rh 1.428 -8.414 0.318
Mn -0.263 -6.288 0.569
Mn 1.397 -6.068 -1.074
Mn 0.712 -4.194 0.159
Mn 1.962 -5.887 1.195
Cu 0.000 0.000 0.000
```


The following is a PBE calculation of crystalline MnCuRh2 at its relaxed geometry, from Alexandria via LeMat-Bulk.

```
4
Lattice="2.790 0.000 0.000 0.000 2.790 0.000 0.000 0.000 7.046" Properties=species:S:1:pos:R:3 pbc="T T T"
Cu 0.000 0.000 3.562
Mn 1.395 1.395 5.249
Rh 1.395 1.395 1.816
Rh 0.000 0.000 6.988
```


The following is a PBE calculation of crystalline MnCuRh2 at its relaxed geometry, from Alexandria via LeMat-Bulk.

```
4
Lattice="4.683 -0.001 0.000 1.707 4.361 0.000 -3.195 -2.180 2.640" Properties=species:S:1:pos:R:3 pbc="T T T"
Cu 3.195 2.180 0.000
Mn 2.342 0.000 1.320
Rh 0.000 0.000 0.000
Rh 0.854 2.181 1.320
```


The following is a PBE calculation of crystalline MnCu2Rh at its relaxed geometry, from Alexandria via LeMat-Bulk.

```
4
Lattice="4.542 0.007 0.023 -2.169 4.601 0.035 0.205 0.745 2.558" Properties=species:S:1:pos:R:3 pbc="T T T"
Cu 0.000 0.000 0.000
Cu 2.373 0.376 1.291
Rh 1.187 2.304 0.029
Mn -0.982 2.673 1.297
```


The following is a PBE calculation of crystalline Mn2Cu2Rh at its relaxed geometry, from Alexandria via LeMat-Bulk.

```
10
Lattice="6.669 0.000 0.000 0.000 6.669 0.000 0.000 0.000 2.821" Properties=species:S:1:pos:R:3 pbc="T T T"
Mn 2.651 5.985 0.000
Mn 5.985 4.018 0.000
Mn 4.018 0.683 0.000
Mn 0.683 2.651 0.000
Cu 4.610 5.393 1.411
Cu 1.275 4.610 1.411
Cu 2.059 1.275 1.411
Cu 5.393 2.059 1.411
Rh 0.000 0.000 0.000
Rh 3.334 3.334 0.000
```

Calculated values
* energy above the lowest structure with this stoichiometry: 140 meV per atom


Number 1: formation enthalpy at 0 K 20 meV per atom, final energy -31.97 eV/cell. Number 2: formation enthalpy at 0 K 215 meV per atom, final energy -46.84 eV/cell. Number 3: formation enthalpy at 0 K 48 meV per atom, final energy -27.78 eV/cell. Number 4: formation enthalpy at 0 K -41 meV per atom, final energy -28.13 eV/cell. Number 5: formation enthalpy at 0 K 91 meV per atom, final energy -24.35 eV/cell. Number 6: formation enthalpy at 0 K 445 meV per atom, final energy -63.31 eV/cell.